Here is a relaxed CrCoW2 crystal from Alexandria. Energies are from PBE.

Cell lengths 3.092, 3.092, 5.843 Å; angles 90.00, 90.00, 90.00 degrees
Each line ends with the local moment (μB).
Atoms (fractional coordinates):
Co: 0.000 0.000 0.504  1.19
Cr: 0.500 0.500 0.744  1.43
W: 0.000 0.000 0.985  -0.24
W: 0.500 0.500 0.267  0.06

Computed properties:
Magnetic moment in μB/f.u.: 2.491
E_tot in eV/atom: -10.474
Energy relative to the lowest polymorph listed for this composition in eV per atom: 0.039
Formation enthalpy at 0 K in eV/atom: 0.18